Below is crystalline NiAs4Rh at its relaxed geometry, with properties calculated at the PBE-GGA level.

Computed properties:
The total energy is -67.12 eV per cell. For the formation energy, the calculation gives -0.31 eV/atom. As for the space-group type: P2_1/c (14). The value obtained for the polymorph energy (0 for the lowest one) is 0 meV/atom.

a = 5.9185 Å, b = 5.9314 Å, c = 5.8641 Å
α = 90.00°, β = 92.06°, γ = 90.00°
Last column: nearest neighbours and their distance in Å.
Element x y z (fractional)
Ni (0.0000, 0.0000, 0.0000)  6 As 2.38-2.45
Ni (0.0000, 0.5000, 0.5000)  6 As 2.38-2.45
As (0.1182, 0.1231, 0.6266)  2 Ni 2.44-2.45, 1 As 2.48, 1 Rh 2.51
As (0.1182, 0.3769, 0.1266)  2 Ni 2.44-2.45, 1 As 2.48, 1 Rh 2.51
As (0.3722, 0.6202, 0.6080)  1 Ni 2.38, 1 As 2.46, 2 Rh 2.47-2.50
As (0.3722, 0.8798, 0.1080)  1 Ni 2.38, 1 As 2.46, 2 Rh 2.47-2.50
As (0.6278, 0.1202, 0.8920)  1 Ni 2.38, 1 As 2.46, 2 Rh 2.47-2.50
As (0.6278, 0.3798, 0.3920)  1 Ni 2.38, 1 As 2.46, 2 Rh 2.47-2.50
As (0.8818, 0.6231, 0.8734)  2 Ni 2.44-2.45, 1 As 2.48, 1 Rh 2.51
As (0.8818, 0.8769, 0.3734)  2 Ni 2.44-2.45, 1 As 2.48, 1 Rh 2.51
Rh (0.5000, 0.0000, 0.5000)  6 As 2.47-2.51
Rh (0.5000, 0.5000, 0.0000)  6 As 2.47-2.51